VASP calculation (GGA+U) on a relaxed structure of Mn2Cl4O.

a b c (Å): 4.529 4.529 7.565
angles (deg): 72.58 72.58 90.00
Last column: magnetic moment on the atom in μB.
Fractional positions:
1 Mn 0.622 0.622 0.755  4.66
2 Mn 0.378 0.378 0.245  4.66
3 O 0.000 0.000 0.000  -0.01
4 Cl 0.791 0.791 0.417  0.03
5 Cl 0.209 0.209 0.583  0.03
6 Cl 0.000 0.500 0.000  0.02
7 Cl 0.500 0.000 0.000  0.02

Properties
Energy ... -4.267 eV/atom
Density of states at the Fermi level ... 1.829 states/eV/f.u.
Space group ... I4/mmm (139)
Volume ... 20.1 Å³/atom